BaMnTeO6, optimized geometry, DFT PBE+U; final energy = -6.400 eV per atom; space-group type = No. 149
1.0
-4.6420 1.8412 1.4550
-4.3526 -2.3250 -1.6471
0.0898 -3.5005 4.7075
Ba O Mn Te
1 6 1 1
direct
0.0000 0.0000 0.0000 Ba
0.3866 0.6147 0.3124 O
0.6145 0.9986 0.3123 O
0.6149 0.3867 0.6876 O
0.3869 0.9986 0.6877 O
0.9984 0.3867 0.3124 O
0.9986 0.6147 0.6876 O
0.6666 0.6667 0.5000 Mn
0.3333 0.3333 0.5000 Te